Density functional theory data (PBEsol) for DyAu3 after structural relaxation.

POSCAR file:
```
DyAu3
1.0
0.000 3.376 3.376
3.376 0.000 3.376
3.376 3.376 0.000
Dy Au
1 3
Cartesian
0.000 0.000 0.000 Dy
1.688 1.688 1.688 Au
3.376 3.376 3.376 Au
5.065 5.065 5.065 Au
```

Calculated values
- calculated density (g cm⁻³) = 16.3
- ΔH_f (0 K) (eV/atom) = -0.673
- space group = Fm-3m, No. 225